Entry 1:
This record from the Alexandria database describes crystalline KZn2Ni2 at its relaxed geometry. The functional is GGA-PBEsol.

Cell lengths 4.189, 4.189, 9.745 Å; angles 90.00, 90.00, 90.00 degrees
Fractional positions:
K (0.000, 0.000, 0.000)
K (0.500, 0.500, 0.500)
Zn (0.000, 0.500, 0.250)
Zn (0.000, 0.500, 0.750)
Zn (0.500, 0.000, 0.250)
Zn (0.500, 0.000, 0.750)
Ni (0.000, 0.000, 0.380)
Ni (0.000, 0.000, 0.620)
Ni (0.500, 0.500, 0.120)
Ni (0.500, 0.500, 0.880)

Output
E_tot	-3.032	eV per atom
spin magnetization	0.0	μB per formula unit
symmetry	I4/mmm (139)
DFT formation energy	290.8	meV per atom

Entry 2:
This record from the Alexandria database describes crystalline RbMg2Ag at its relaxed geometry. The functional is GGA-PBEsol.

Cell lengths 7.549, 7.549, 7.549 Å; angles 90.00, 90.00, 90.00 degrees
Fractional positions:
Rb (0.000, 0.000, 0.000)
Rb (0.000, 0.500, 0.500)
Rb (0.500, 0.000, 0.500)
Rb (0.500, 0.500, 0.000)
Mg (0.250, 0.250, 0.250)
Mg (0.250, 0.250, 0.750)
Mg (0.250, 0.750, 0.250)
Mg (0.250, 0.750, 0.750)
Mg (0.750, 0.250, 0.250)
Mg (0.750, 0.250, 0.750)
Mg (0.750, 0.750, 0.250)
Mg (0.750, 0.750, 0.750)
Ag (0.000, 0.000, 0.500)
Ag (0.000, 0.500, 0.000)
Ag (0.500, 0.000, 0.000)
Ag (0.500, 0.500, 0.500)

Output
E_tot	-1.625	eV per atom
spin magnetization	0.0	μB per formula unit
symmetry	Fm-3m (225)
DFT formation energy	317.3	meV per atom

Entry 3:
This record from the Alexandria database describes crystalline ZrTc2Rh at its relaxed geometry. The functional is GGA-PBEsol.

Cell lengths 5.290, 9.038, 2.721 Å; angles 90.00, 109.93, 90.00 degrees
Fractional positions:
Zr (0.000, 0.000, 0.000)
Zr (0.500, 0.500, 0.000)
Tc (0.250, 0.250, 0.500)
Tc (0.250, 0.750, 0.500)
Tc (0.750, 0.250, 0.500)
Tc (0.750, 0.750, 0.500)
Rh (0.000, 0.500, 0.000)
Rh (0.500, 0.000, 0.000)

Output
E_tot	-9.981	eV per atom
spin magnetization	0.0	μB per formula unit
symmetry	C2/m (12)
energy above the most stable polymorph in this dataset	0.454	eV per formula unit
DFT formation energy	-40.9	meV per atom

Entry 4:
This record from the Alexandria database describes crystalline La2MgFeO6 at its relaxed geometry. The functional is GGA-PBEsol.

Cell lengths 5.389, 5.392, 5.416 Å; angles 60.56, 60.96, 60.43 degrees
Fractional positions:
La (0.247, 0.250, 0.255)
La (0.753, 0.750, 0.745)
Mg (0.000, 0.000, 0.000)
Fe (0.500, 0.500, 0.500)
O (0.216, 0.303, 0.712)
O (0.236, 0.786, 0.695)
O (0.326, 0.739, 0.194)
O (0.674, 0.261, 0.806)
O (0.764, 0.214, 0.305)
O (0.784, 0.697, 0.288)

Output
E_tot	-8.031	eV per atom
spin magnetization	2.0	μB per formula unit
symmetry	P-1 (2)
formation energy without anion corrections	-2.745	eV/atom

Entry 5:
This record from the Alexandria database describes crystalline MnTc2Te at its relaxed geometry. The functional is GGA-PBEsol.

Cell lengths 9.140, 3.105, 4.476 Å; angles 90.00, 108.01, 90.00 degrees
Fractional positions:
Mn (0.000, 0.000, 0.000)
Mn (0.500, 0.500, 0.000)
Tc (0.003, 0.500, 0.520)
Tc (0.264, 0.000, 0.886)
Tc (0.503, 0.000, 0.520)
Tc (0.764, 0.500, 0.886)
Te (0.253, 0.500, 0.352)
Te (0.753, 0.000, 0.352)

Output
E_tot	-8.654	eV per atom
spin magnetization	2.6	μB per formula unit
symmetry	Cm (8)
formation energy without anion corrections	0.301	eV/atom

Entry 6:
This record from the Alexandria database describes crystalline SiTe2 at its relaxed geometry. The functional is GGA-PBEsol.

Cell lengths 3.735, 3.735, 20.460 Å; angles 90.00, 90.00, 120.00 degrees
Fractional positions:
Si (0.000, 0.000, 0.000)
Si (0.333, 0.667, 0.667)
Si (0.667, 0.333, 0.333)
Te (0.000, 0.000, 0.254)
Te (0.000, 0.000, 0.746)
Te (0.333, 0.667, 0.413)
Te (0.333, 0.667, 0.920)
Te (0.667, 0.333, 0.080)
Te (0.667, 0.333, 0.587)

Output
E_tot	-4.239	eV per atom
spin magnetization	0.0	μB per formula unit
symmetry	R-3m (166)
formation energy without anion corrections	0.027	eV/atom

Entry 7:
This record from the Alexandria database describes crystalline CeGaAg at its relaxed geometry. The functional is GGA-PBEsol.

Cell lengths 10.206, 4.702, 6.468 Å; angles 90.00, 128.08, 90.00 degrees
Fractional positions:
Ce (0.010, 0.000, 0.292)
Ce (0.490, 0.500, 0.708)
Ce (0.510, 0.500, 0.292)
Ce (0.990, 0.000, 0.708)
Ga (0.157, 0.500, 0.139)
Ga (0.343, 0.000, 0.861)
Ga (0.657, 0.000, 0.139)
Ga (0.843, 0.500, 0.861)
Ag (0.180, 0.500, 0.701)
Ag (0.320, 0.000, 0.299)
Ag (0.680, 0.000, 0.701)
Ag (0.820, 0.500, 0.299)

Output
E_tot	-4.786	eV per atom
spin magnetization	0.5	μB per formula unit
symmetry	C2/m (12)
DFT formation energy	-370.2	meV per atom

Entry 8:
This record from the Alexandria database describes crystalline ReTcN2F at its relaxed geometry. The functional is GGA-PBEsol.

Cell lengths 3.876, 3.876, 3.915 Å; angles 90.00, 90.00, 90.00 degrees
Fractional positions:
Re (0.000, 0.000, 0.000)
Tc (0.500, 0.500, 0.500)
N (0.000, 0.500, 0.500)
N (0.500, 0.000, 0.500)
F (0.500, 0.500, 0.000)

Output
E_tot	-7.756	eV per atom
spin magnetization	3.8	μB per formula unit
symmetry	P4/mmm (123)
formation energy without anion corrections	0.960	eV/atom